1.
# Tb2Si3Ni | Alexandria via LeMat-Bulk | PBE | relaxed
data_Tb2Si3Ni
_space_group_name_H-M_alt 'P m m 2'
_space_group_IT_number 25
_cell_length_a 4.021
_cell_length_b 4.048
_cell_length_c 6.881
_cell_angle_alpha 90.00
_cell_angle_beta 90.00
_cell_angle_gamma 90.00
loop_
_space_group_symop_operation_xyz
'x,y,z'
'-x,-y,z'
'-x,y,z'
'x,-y,z'
loop_
_atom_site_label
_atom_site_type_symbol
_atom_site_fract_x
_atom_site_fract_y
_atom_site_fract_z
Tb1 Tb 0.000 0.000 0.000
Tb2 Tb 0.500 0.000 0.500
Si1 Si 0.000 0.500 0.319
Si2 Si 0.000 0.500 0.662
Si3 Si 0.500 0.500 0.850
Ni1 Ni 0.500 0.500 0.174
# **Uncorrected formation energy**: -804 meV per atom


2.
# FeMoRu2 | Alexandria via LeMat-Bulk | PBE | relaxed
data_FeMoRu2
_space_group_name_H-M_alt 'A m m 2'
_space_group_IT_number 38
_cell_length_a 4.120
_cell_length_b 2.710
_cell_length_c 9.830
_cell_angle_alpha 90.00
_cell_angle_beta 90.00
_cell_angle_gamma 90.00
loop_
_space_group_symop_operation_xyz
'x,y,z'
'-x,-y,z'
'-x,y,z'
'x,-y,z'
'x,y+1/2,z+1/2'
'-x,-y+1/2,z+1/2'
'-x,y+1/2,z+1/2'
'x,-y+1/2,z+1/2'
loop_
_atom_site_label
_atom_site_type_symbol
_atom_site_fract_x
_atom_site_fract_y
_atom_site_fract_z
Fe1 Fe 0.000 0.000 0.000
Mo1 Mo 0.500 0.000 0.127
Ru1 Ru 0.000 0.000 0.742
Ru2 Ru 0.500 0.000 0.393
# **Distance to the lowest polymorph of the same formula**: 0.111 eV/atom


3.
# La4GaSi2 | Alexandria via LeMat-Bulk | PBE | relaxed
data_La4GaSi2
_space_group_name_H-M_alt 'I 4/m m m'
_space_group_IT_number 139
_space_group_name_Hall '-I 4 2'
_cell_length_a 5.442
_cell_length_b 5.442
_cell_length_c 16.024
_cell_angle_alpha 90.00
_cell_angle_beta 90.00
_cell_angle_gamma 90.00
loop_
_atom_site_label
_atom_site_type_symbol
_atom_site_fract_x
_atom_site_fract_y
_atom_site_fract_z
La1 La 0.000 0.000 0.190
La2 La 0.000 0.500 0.000
Ga1 Ga 0.000 0.000 0.000
Si1 Si 0.000 0.000 0.375
# **Distance to the lowest polymorph of the same formula**: 0.433 eV/atom
# **Uncorrected formation energy**: -80 meV per atom